## NaLiNbF6 (PBE)

Data for a geometry-optimized NaLiNbF6 structure.

Cell: 5.431 5.431 9.700 Å, 90.00 90.00 120.00°
Positions (direct):
Na: 0.000 0.000 0.000
Na: 0.000 0.000 0.500
Li: 0.333 0.667 0.250
Li: 0.667 0.333 0.750
Nb: 0.333 0.667 0.750
Nb: 0.667 0.333 0.250
F: 0.006 0.359 0.642
F: 0.006 0.647 0.858
F: 0.353 0.359 0.858
F: 0.353 0.994 0.642
F: 0.359 0.006 0.142
F: 0.359 0.353 0.358
F: 0.641 0.647 0.642
F: 0.641 0.994 0.858
F: 0.647 0.006 0.358
F: 0.647 0.641 0.142
F: 0.994 0.353 0.142
F: 0.994 0.641 0.358

Symmetry: P-31c
VASP energy (eV/atom): -5.6510

***

## Na2Li3NbF12 (PBE)

Data for a geometry-optimized Na2Li3NbF12 structure.

Cell: 8.100 8.100 8.100 Å, 48.93 48.93 48.93°
Positions (direct):
Na: 0.071 0.071 0.071
Na: 0.929 0.929 0.929
Li: 0.000 0.500 0.500
Li: 0.500 0.000 0.500
Li: 0.500 0.500 0.000
Nb: 0.500 0.500 0.500
F: 0.156 0.156 0.600
F: 0.156 0.600 0.156
F: 0.176 0.583 0.583
F: 0.400 0.844 0.844
F: 0.417 0.417 0.824
F: 0.417 0.824 0.417
F: 0.583 0.176 0.583
F: 0.583 0.583 0.176
F: 0.600 0.156 0.156
F: 0.824 0.417 0.417
F: 0.844 0.400 0.844
F: 0.844 0.844 0.400

Symmetry: R-3m
VASP energy (eV/atom): -4.7628